[1]
Computed, not measured: Ag2BiPb2 after structural relaxation at the GGA-PBE level of DFT.

The calculation puts the energy at -0.2379 Ry/atom. The energy of formation from the pure elements is 0.16 eV per atom. The energy above the most stable polymorph in this dataset is 0.093 eV/atom.

It has space group P4/mbm (No. 127), with a = 8.892 Å, b = 8.892 Å, c = 3.395 Å, α = 90.00°, β = 90.00° and γ = 90.00°. Symmetry generates all atoms from Ag at (0.116, 0.384, 0.000), Bi at (0.000, 0.000, 0.500) and Pb at (0.176, 0.676, 0.500).

[2]
Computed, not measured: YMg2Sc after structural relaxation at the GGA-PBE level of DFT.

The calculation puts the energy at -0.2921 Ry/atom. The energy of formation from the pure elements is 0.02 eV per atom. The energy above the most stable polymorph in this dataset is 0.091 eV/atom.

It has space group C2/m (No. 12), with a = 10.818 Å, b = 3.398 Å, c = 5.822 Å, α = 90.00°, β = 100.75° and γ = 90.00°. Symmetry generates all atoms from Y at (0.000, 0.000, 0.000), Mg at (0.245, 0.000, 0.738) and Sc at (0.000, 0.500, 0.500).

[3]
Computed, not measured: NaEu2Pa after structural relaxation at the GGA-PBE level of DFT.

The calculation puts the energy at -0.5560 Ry/atom. The energy of formation from the pure elements is 0.28 eV per atom.

It has space group R-3m (No. 166, hexagonal axes), with a = 3.4974 Å, b = 3.4974 Å, c = 37.0155 Å, α = 90.00°, β = 90.00° and γ = 120.00°. Symmetry generates all atoms from Na at (0.0000, 0.0000, 0.0000), Eu at (0.0000, 0.0000, 0.2430) and Pa at (0.0000, 0.0000, 0.5000).

[4]
Computed, not measured: Ac2Mg2InPd5 after structural relaxation at the GGA-PBE level of DFT.

The calculation puts the energy at -0.3364 Ry/atom. The energy of formation from the pure elements is -0.57 eV per atom.

It has space group P4/mbm (No. 127), with a = 10.754 Å, b = 10.754 Å, c = 3.668 Å, α = 90.00°, β = 90.00° and γ = 90.00°. Symmetry generates all atoms from Ac at (0.178, 0.322, 0.000), Mg at (0.121, 0.621, 0.000), In at (0.000, 0.000, 0.000), Pd at (0.000, 0.500, 0.500) and Pd at (0.055, 0.800, 0.500).

[5]
Computed, not measured: La3HRhAu after structural relaxation at the GGA-PBE level of DFT.

The calculation puts the energy at -0.4027 Ry/atom.

It has space group P2_1/m (No. 11), with a = 8.739 Å, b = 4.077 Å, c = 9.094 Å, α = 90.00°, β = 102.76° and γ = 90.00°. Symmetry generates all atoms from La at (0.066, 0.250, 0.329), La at (0.302, 0.250, 0.978), La at (0.388, 0.750, 0.641), H at (0.424, 0.750, 0.917), Rh at (0.166, 0.250, 0.660) and Au at (0.324, 0.750, 0.260).

[6]
Computed, not measured: Hf3Be2Co after structural relaxation at the GGA-PBE level of DFT.

The calculation puts the energy at -0.5566 Ry/atom. The energy of formation from the pure elements is -0.17 eV per atom.

It has space group Pnma (No. 62), with a = 10.267 Å, b = 3.828 Å, c = 9.722 Å, α = 90.00°, β = 90.00° and γ = 90.00°. Symmetry generates all atoms from Hf at (0.041, 0.250, 0.129), Hf at (0.121, 0.750, 0.573), Hf at (0.219, 0.250, 0.811), Be at (0.022, 0.750, 0.313), Be at (0.191, 0.750, 0.019) and Co at (0.127, 0.250, 0.384).

[7]
Computed, not measured: Ca2AgRh2 after structural relaxation at the GGA-PBE level of DFT.

The calculation puts the energy at -0.3118 Ry/atom. The energy of formation from the pure elements is 0.07 eV per atom. The energy above the most stable polymorph in this dataset is 0.345 eV/atom.

It has space group I4/mmm (No. 139), with a = 5.501 Å, b = 5.501 Å, c = 7.873 Å, α = 90.00°, β = 90.00° and γ = 90.00°. Symmetry generates all atoms from Ca at (0.000, 0.500, 0.250), Ag at (0.000, 0.000, 0.000) and Rh at (0.000, 0.000, 0.344).

[8]
Computed, not measured: Ce3Cr5N12 after structural relaxation at the GGA-PBE level of DFT.

The uncorrected formation energy comes out at -0.765 eV/atom. The calculation puts the energy at -0.6656 Ry/atom.

It has space group Ia-3d (No. 230), with a = 12.410 Å, b = 12.410 Å, c = 12.410 Å, α = 90.00°, β = 90.00° and γ = 90.00°. Symmetry generates all atoms from Ce at (0.000, 0.250, 0.125), Cr at (0.000, 0.000, 0.000), Cr at (0.000, 0.250, 0.375) and N at (0.033, 0.046, 0.653).

[9]
Computed, not measured: ZrOs2Rh after structural relaxation at the GGA-PBE level of DFT.

The calculation puts the energy at -0.6809 Ry/atom. The energy of formation from the pure elements is 0.33 eV per atom. The energy above the most stable polymorph in this dataset is 0.538 eV/atom.

It has space group I-42d (No. 122), with a = 3.810 Å, b = 3.810 Å, c = 19.434 Å, α = 90.00°, β = 90.00° and γ = 90.00°. Symmetry generates all atoms from Zr at (0.000, 0.000, 0.000), Os at (0.200, 0.250, 0.625) and Rh at (0.000, 0.000, 0.500).